Entry 1:
Crystalline Ce3Mg7Tl4 at its relaxed geometry. Source: Alexandria via LeMat-Bulk, functional GGA-PBE.

```
Ce3Mg7Tl4
1.0
-2.525 -3.848 -1.363
-4.851 -2.396 7.300
-8.710 3.078 -1.007
Mg Ce Tl
7 3 4
direct
0.000 0.000 0.000 Mg
0.156 0.620 0.067 Mg
0.844 0.380 0.933 Mg
0.507 0.809 0.177 Mg
0.336 0.815 0.513 Mg
0.664 0.185 0.487 Mg
0.493 0.191 0.823 Mg
0.297 0.194 0.212 Ce
0.703 0.806 0.788 Ce
0.000 0.500 0.500 Ce
0.352 0.534 0.762 Tl
0.870 0.916 0.344 Tl
0.130 0.084 0.656 Tl
0.648 0.466 0.238 Tl
```

Output
* formation energy: -0.15 eV/atom

***

Entry 2:
Crystalline Re5Ni3 at its relaxed geometry. Source: Alexandria via LeMat-Bulk, functional GGA-PBE.

```
Re5Ni3
1.0
7.211 0.000 0.000
3.606 6.245 0.000
0.000 0.000 4.810
Re Ni
10 6
direct
0.667 0.667 0.500 Re
0.222 0.000 0.250 Re
0.778 0.000 0.750 Re
0.333 0.333 0.000 Re
0.222 0.778 0.750 Re
0.000 0.778 0.250 Re
0.333 0.333 0.500 Re
0.000 0.222 0.750 Re
0.778 0.222 0.250 Re
0.667 0.667 0.000 Re
0.408 0.592 0.250 Ni
0.000 0.408 0.250 Ni
0.408 0.000 0.750 Ni
0.592 0.408 0.750 Ni
0.000 0.592 0.750 Ni
0.592 0.000 0.250 Ni
```

Output
* polymorph energy (0 for the lowest one): 0.121 eV/atom
* formation energy: 0.18 eV/atom

***

Entry 3:
Crystalline Rb2Cd4AgAu3 at its relaxed geometry. Source: Alexandria via LeMat-Bulk, functional GGA-PBE.

```
Rb2Cd4AgAu3
1.0
-2.768 0.521 4.133
1.331 -4.592 1.470
8.816 4.273 5.365
Au Rb Ag Cd
3 2 1 4
direct
0.000 0.500 0.126 Au
0.500 0.000 0.874 Au
0.000 0.000 0.500 Au
0.000 0.500 0.746 Rb
0.500 0.000 0.254 Rb
0.500 0.500 0.500 Ag
0.000 0.000 0.000 Cd
0.000 0.500 0.376 Cd
0.500 0.000 0.624 Cd
0.500 0.500 0.000 Cd
```

Output
* formation energy: -0.17 eV/atom

***

Entry 4:
Crystalline BaSrLiBi at its relaxed geometry. Source: Alexandria via LeMat-Bulk, functional GGA-PBE.

```
BaSrLiBi
1.0
5.952 0.000 0.000
2.976 5.154 0.000
2.976 1.718 4.860
Li Sr Bi Ba
1 1 1 1
direct
0.000 0.000 0.000 Li
0.250 0.250 0.250 Sr
0.500 0.500 0.500 Bi
0.750 0.750 0.750 Ba
```

Output
* formation energy: -0.49 eV/atom

***

Entry 5:
Crystalline RbNaSO4 at its relaxed geometry. Source: Alexandria via LeMat-Bulk, functional GGA-PBE.

```
RbNaSO4
1.0
5.174 0.000 -0.885
0.000 5.542 0.000
-3.191 0.000 8.577
O Na Rb S
8 2 2 2
direct
0.959 0.528 0.217 O
0.402 0.750 0.279 O
0.959 0.972 0.217 O
0.771 0.250 0.517 O
0.598 0.250 0.721 O
0.041 0.472 0.783 O
0.041 0.028 0.783 O
0.229 0.750 0.483 O
0.168 0.250 0.460 Na
0.832 0.750 0.540 Na
0.599 0.750 0.862 Rb
0.401 0.250 0.138 Rb
0.864 0.250 0.702 S
0.136 0.750 0.298 S
```

Output
* uncorrected formation energy: -12.8 eV/f.u.

***

Entry 6:
Crystalline Re3Au at its relaxed geometry. Source: Alexandria via LeMat-Bulk, functional GGA-PBE.

```
Re3Au
1.0
-1.542 1.312 1.803
-1.075 -0.203 -2.481
-4.133 -8.250 2.467
Re Au
3 1
direct
0.500 0.500 0.266 Re
0.000 0.000 0.500 Re
0.500 0.500 0.734 Re
0.000 0.000 0.000 Au
```

Output
* formation energy: 0.45 eV/atom

***

Entry 7:
Crystalline BaAsSe2Br at its relaxed geometry. Source: Alexandria via LeMat-Bulk, functional GGA-PBE.

```
BaAsSe2Br
1.0
-3.260 -2.984 3.194
4.016 -3.617 0.720
1.623 2.619 4.104
As Se Br Ba
1 2 1 1
direct
0.000 0.000 0.500 As
0.000 0.500 0.000 Se
0.500 0.000 0.000 Se
0.000 0.000 0.000 Br
0.500 0.500 0.500 Ba
```

Output
* uncorrected formation energy: -0.6 eV/f.u.
* polymorph energy (0 for the lowest one): 0.767 eV/atom

***

Entry 8:
Crystalline AuSBr2 at its relaxed geometry. Source: Alexandria via LeMat-Bulk, functional GGA-PBE.

```
AuSBr2
1.0
1.676 2.451 7.685
1.674 -1.676 7.891
5.023 0.322 6.523
Br S Au
2 1 1
direct
0.898 0.898 0.898 Br
0.102 0.102 0.102 Br
0.000 0.000 0.000 S
0.500 0.500 0.500 Au
```

Output
* uncorrected formation energy: 1.6 eV/f.u.
* polymorph energy (0 for the lowest one): 0.000 eV/atom

***

Entry 9:
Crystalline Ru5W at its relaxed geometry. Source: Alexandria via LeMat-Bulk, functional GGA-PBE.

```
Ru5W
1.0
-5.847 -0.573 1.680
4.859 -3.129 -1.986
1.103 -0.595 3.636
W Ru
1 5
direct
0.972 0.028 0.000 W
0.804 0.196 0.500 Ru
0.303 0.697 0.000 Ru
0.140 0.860 0.500 Ru
0.642 0.358 0.000 Ru
0.472 0.528 0.500 Ru
```

Output
* polymorph energy (0 for the lowest one): 0.085 eV/atom
* formation energy: 0.05 eV/atom